1.
DFT (GGA-PBE) results for a relaxed MnNbGe2Pt crystal.

Output
theoretical density: 8.929 Mg/m³
space group: No. 123
DFT formation energy: 0.374 eV/atom

```
5
Lattice="4.427 0.000 0.000 0.000 4.427 0.000 0.000 0.000 4.633" Properties=species:S:1:pos:R:3 pbc="T T T"
Mn 0.000 0.000 0.000
Nb 0.000 0.000 2.316
Ge 0.000 2.213 0.000
Ge 2.213 0.000 0.000
Pt 2.213 2.213 2.316
```


2.
DFT (GGA-PBE) results for a relaxed Tb12SmNi6 crystal.

Output
theoretical density: 8.290 Mg/m³
space group: No. 204
DFT formation energy: -0.233 eV/atom

```
19
Lattice="-4.942 4.942 4.942 4.942 -4.942 4.942 4.942 4.942 -4.942" Properties=species:S:1:pos:R:3 pbc="T T T"
Tb 4.942 3.121 -1.862
Tb 3.079 0.000 1.821
Tb 6.804 0.000 1.821
Tb 1.821 3.079 0.000
Tb 3.121 -1.862 4.942
Tb 0.000 1.821 3.079
Tb 4.942 3.121 1.862
Tb 1.821 6.804 0.000
Tb 3.121 1.862 4.942
Tb -1.862 4.942 3.121
Tb 1.862 4.942 3.121
Tb 0.000 1.821 6.804
Sm 0.000 0.000 0.000
Ni 4.942 1.223 0.000
Ni 4.942 0.000 3.719
Ni 3.719 4.942 0.000
Ni 1.223 0.000 4.942
Ni 0.000 4.942 1.223
Ni 0.000 3.719 4.942
```